! Dy2Ga5Cu (GGA-PBE, relaxed); values from VASP
&SYSTEM
  ibrav = 0, nat = 8, ntyp = 3
/
ATOMIC_SPECIES
Ga 69.72 Ga.upf
Cu 63.55 Cu.upf
Dy 162.50 Dy.upf
CELL_PARAMETERS angstrom
6.0403 -0.0807 -0.1150
-3.0441 5.2178 0.1150
-3.0441 -1.6668 4.9457
ATOMIC_POSITIONS crystal
Ga 0.4682 0.7531 0.7531
Ga 0.0000 0.2416 0.2416
Ga 0.0000 0.2849 0.7531
Ga 0.0000 0.7531 0.2849
Ga 0.5318 0.2849 0.2849
Cu 0.0000 0.8641 0.8641
Dy 0.5000 0.2701 0.7701
Dy 0.5000 0.7701 0.2701
! VASP energy: -0.1476 Ha/atom
! theoretical density: 8.0 g/cm3

=====

! DyGa8Cu4 (GGA-PBE, relaxed); values from VASP
&SYSTEM
  ibrav = 0, nat = 13, ntyp = 3
/
ATOMIC_SPECIES
Ga 69.72 Ga.upf
Cu 63.55 Cu.upf
Dy 162.50 Dy.upf
CELL_PARAMETERS angstrom
5.2673 0.0000 0.0000
2.6336 6.2585 0.0000
2.6336 0.0000 6.2585
ATOMIC_POSITIONS crystal
Ga 0.7149 0.7851 0.7851
Ga 0.5000 0.2149 0.7851
Ga 0.3464 0.6536 0.6536
Ga 0.0000 0.3464 0.6536
Ga 0.2851 0.2149 0.2149
Ga 0.5000 0.7851 0.2149
Ga 0.6536 0.3464 0.3464
Ga 0.0000 0.6536 0.3464
Cu 0.0000 0.0000 0.5000
Cu 0.5000 0.5000 0.0000
Cu 0.0000 0.5000 0.0000
Cu 0.5000 0.0000 0.5000
Dy 0.0000 0.0000 0.0000
! VASP energy: -0.1357 Ha/atom
! theoretical density: 7.8 g/cm3

=====

! Dy2GaCu (GGA-PBE, relaxed); values from VASP
&SYSTEM
  ibrav = 0, nat = 8, ntyp = 3
/
ATOMIC_SPECIES
Dy 162.50 Dy.upf
Cu 63.55 Cu.upf
Ga 69.72 Ga.upf
CELL_PARAMETERS angstrom
-2.9324 1.8916 -0.4887
-2.2746 -4.0146 -1.8906
-3.1423 -2.5151 9.1211
ATOMIC_POSITIONS crystal
Dy 0.0000 0.2500 0.6253
Dy 0.0000 0.7500 0.8826
Dy 0.0000 0.2500 0.1174
Dy 0.0000 0.7500 0.3747
Cu 0.5000 0.2500 0.8632
Cu 0.5000 0.7500 0.1368
Ga 0.5000 0.2500 0.3662
Ga 0.5000 0.7500 0.6338
! VASP energy: -0.1649 Ha/atom
! theoretical density: 8.7 g/cm3

=====

! Dy3Ga2Cu (GGA-PBE, relaxed); values from VASP
&SYSTEM
  ibrav = 0, nat = 24, ntyp = 3
/
ATOMIC_SPECIES
Ga 69.72 Ga.upf
Dy 162.50 Dy.upf
Cu 63.55 Cu.upf
CELL_PARAMETERS angstrom
-3.5030 0.1047 2.5352
0.4689 -10.9856 1.1015
6.8305 1.2327 9.3869
ATOMIC_POSITIONS crystal
Ga 0.7500 0.3192 0.5165
Ga 0.2500 0.8192 0.9835
Ga 0.7500 0.1808 0.0165
Ga 0.2500 0.6808 0.4835
Ga 0.7500 0.0070 0.6871
Ga 0.7500 0.4930 0.1871
Ga 0.2500 0.9930 0.3129
Ga 0.2500 0.5070 0.8129
Dy 0.7500 0.6309 0.9491
Dy 0.2500 0.0674 0.8726
Dy 0.7500 0.1945 0.2808
Dy 0.7500 0.8691 0.4491
Dy 0.7500 0.3055 0.7808
Dy 0.2500 0.1309 0.5509
Dy 0.2500 0.4326 0.3726
Dy 0.7500 0.5674 0.6274
Dy 0.7500 0.9326 0.1274
Dy 0.2500 0.3691 0.0509
Dy 0.2500 0.6945 0.2192
Dy 0.2500 0.8055 0.7192
Cu 0.2500 0.3835 0.6244
Cu 0.2500 0.1165 0.1244
Cu 0.7500 0.6165 0.3756
Cu 0.7500 0.8835 0.8756
! VASP energy: -0.1642 Ha/atom
! theoretical density: 8.2 g/cm3

=====

! DyGa3Cu (GGA-PBE, relaxed); values from VASP
&SYSTEM
  ibrav = 0, nat = 5, ntyp = 3
/
ATOMIC_SPECIES
Ga 69.72 Ga.upf
Dy 162.50 Dy.upf
Cu 63.55 Cu.upf
CELL_PARAMETERS angstrom
3.8817 0.0000 1.3422
-0.4623 3.8528 1.3452
0.0728 0.0768 6.0833
ATOMIC_POSITIONS crystal
Ga 0.6455 0.9482 0.4150
Ga 0.1447 0.4490 0.4150
Ga 0.8007 0.6041 0.1035
Dy 0.3966 0.2001 0.9123
Cu 0.0203 0.8238 0.6653
! energy relative to the lowest polymorph listed for this composition: 0.0 meV/atom
! VASP energy: -0.1481 Ha/atom
! theoretical density: 8.0 g/cm3

=====

! Dy4GaCu2 (GGA-PBE, relaxed); values from VASP
&SYSTEM
  ibrav = 0, nat = 7, ntyp = 3
/
ATOMIC_SPECIES
Dy 162.50 Dy.upf
Cu 63.55 Cu.upf
Ga 69.72 Ga.upf
CELL_PARAMETERS angstrom
4.7024 0.0000 1.4691
2.1217 4.1965 1.4691
-0.0464 -0.0285 8.4087
ATOMIC_POSITIONS crystal
Dy 0.3807 0.3807 0.8579
Dy 0.8719 0.8719 0.3843
Dy 0.1281 0.1281 0.6157
Dy 0.6193 0.6193 0.1421
Cu 0.2539 0.2539 0.2383
Cu 0.7461 0.7461 0.7617
Ga 0.0000 0.0000 0.0000
! energy relative to the lowest polymorph listed for this composition: 24.4 meV/atom
! VASP energy: -0.1638 Ha/atom
! theoretical density: 8.5 g/cm3

=====

! Dy2GaCu (GGA-PBE, relaxed); values from VASP
&SYSTEM
  ibrav = 0, nat = 8, ntyp = 3
/
ATOMIC_SPECIES
Ga 69.72 Ga.upf
Dy 162.50 Dy.upf
Cu 63.55 Cu.upf
CELL_PARAMETERS angstrom
4.3009 0.0000 0.0000
0.0000 5.8691 0.1128
0.0000 -2.7782 7.1720
ATOMIC_POSITIONS crystal
Ga 0.2500 0.3374 0.7116
Ga 0.7500 0.6626 0.2884
Dy 0.2500 0.7816 0.5842
Dy 0.7500 0.2184 0.4158
Dy 0.7500 0.2086 0.9363
Dy 0.2500 0.7914 0.0637
Cu 0.2500 0.3710 0.2127
Cu 0.7500 0.6290 0.7873
! VASP energy: -0.1652 Ha/atom
! theoretical density: 8.3 g/cm3

=====

! DyGa5Cu2 (GGA-PBE, relaxed); values from VASP
&SYSTEM
  ibrav = 0, nat = 8, ntyp = 3
/
ATOMIC_SPECIES
Dy 162.50 Dy.upf
Ga 69.72 Ga.upf
Cu 63.55 Cu.upf
CELL_PARAMETERS angstrom
3.9569 0.0000 0.0000
1.9784 6.0447 0.0013
1.9784 1.8199 5.7642
ATOMIC_POSITIONS crystal
Dy 0.0000 0.0000 0.0000
Ga 0.0000 0.5000 0.5000
Ga 0.3538 0.4542 0.8383
Ga 0.3538 0.8383 0.4542
Ga 0.6462 0.5458 0.1617
Ga 0.6462 0.1617 0.5458
Cu 0.7465 0.7535 0.7535
Cu 0.2535 0.2465 0.2465
! VASP energy: -0.1384 Ha/atom
! theoretical density: 7.7 g/cm3

=====

! DyGa6Cu6 (GGA-PBE, relaxed); values from VASP
&SYSTEM
  ibrav = 0, nat = 13, ntyp = 3
/
ATOMIC_SPECIES
Cu 63.55 Cu.upf
Ga 69.72 Ga.upf
Dy 162.50 Dy.upf
CELL_PARAMETERS angstrom
-0.5197 -3.2767 -3.9617
-2.2544 -5.9517 1.8483
-6.0309 0.1958 -2.7408
ATOMIC_POSITIONS crystal
Cu 0.0000 0.0000 0.5000
Cu 0.5000 0.7675 0.2325
Cu 0.5000 0.2325 0.7675
Cu 0.5000 0.5000 0.0000
Cu 0.0000 0.5000 0.0000
Cu 0.5000 0.0000 0.5000
Ga 0.6936 0.8064 0.8064
Ga 0.3064 0.1936 0.1936
Ga 0.0000 0.3465 0.6535
Ga 0.6520 0.3480 0.3480
Ga 0.0000 0.6535 0.3465
Ga 0.3480 0.6520 0.6520
Dy 0.0000 0.0000 0.0000
! VASP energy: -0.1446 Ha/atom
! theoretical density: 8.3 g/cm3

=====

! Dy3Ga2Cu9 (GGA-PBE, relaxed); values from VASP
&SYSTEM
  ibrav = 0, nat = 14, ntyp = 3
/
ATOMIC_SPECIES
Cu 63.55 Cu.upf
Dy 162.50 Dy.upf
Ga 69.72 Ga.upf
CELL_PARAMETERS angstrom
4.0753 0.0000 1.0946
1.4713 7.2584 2.6559
0.0754 0.4812 7.8527
ATOMIC_POSITIONS crystal
Cu 0.1325 0.5818 0.1531
Cu 0.3357 0.0209 0.3077
Cu 0.1325 0.1531 0.5818
Cu 0.6643 0.6923 0.9791
Cu 0.8675 0.4182 0.8469
Cu 0.3357 0.3077 0.0209
Cu 0.6643 0.9791 0.6923
Cu 0.8675 0.8469 0.4182
Cu 0.0000 0.5000 0.5000
Dy 0.7071 0.2929 0.2929
Dy 0.0000 0.0000 0.0000
Dy 0.2929 0.7071 0.7071
Ga 0.5000 0.6901 0.3099
Ga 0.5000 0.3099 0.6901
! VASP energy: -0.1590 Ha/atom
! theoretical density: 8.8 g/cm3

=====

! Dy2GaCu (GGA-PBE, relaxed); values from VASP
&SYSTEM
  ibrav = 0, nat = 4, ntyp = 3
/
ATOMIC_SPECIES
Dy 162.50 Dy.upf
Cu 63.55 Cu.upf
Ga 69.72 Ga.upf
CELL_PARAMETERS angstrom
3.7191 0.0000 0.0000
1.8595 3.2208 0.0000
1.8595 1.0736 8.1204
ATOMIC_POSITIONS crystal
Dy 0.7550 0.7550 0.7349
Dy 0.2450 0.2450 0.2651
Cu 0.5000 0.5000 0.5000
Ga 0.0000 0.0000 0.0000
! VASP energy: -0.1570 Ha/atom
! theoretical density: 7.8 g/cm3

=====

! Dy3GaCu3 (GGA-PBE, relaxed); values from VASP
&SYSTEM
  ibrav = 0, nat = 14, ntyp = 3
/
ATOMIC_SPECIES
Cu 63.55 Cu.upf
Dy 162.50 Dy.upf
Ga 69.72 Ga.upf
CELL_PARAMETERS angstrom
0.0765 -3.4937 2.2806
4.0348 -3.4264 -1.5667
8.7445 4.1082 9.8175
ATOMIC_POSITIONS crystal
Cu 0.8955 0.1313 0.0776
Cu 0.8684 0.7212 0.5420
Cu 0.9605 0.8467 0.2322
Cu 0.0395 0.1533 0.7678
Cu 0.1045 0.8687 0.9224
Cu 0.1316 0.2788 0.4580
Dy 0.6037 0.7135 0.0791
Dy 0.3963 0.2865 0.9209
Dy 0.2493 0.2696 0.2319
Dy 0.4632 0.6841 0.3894
Dy 0.5368 0.3159 0.6106
Dy 0.7507 0.7304 0.7681
Ga 0.2455 0.9026 0.6065
Ga 0.7545 0.0974 0.3935
! VASP energy: -0.1650 Ha/atom
! theoretical density: 8.6 g/cm3